DFT (PBE) results for a geometry-optimized PmB4Pd12 structure. Values from VASP.

Symmetry: Im-3 (204)
Size of the total moment in Bohr magnetons per cell: 0.00
Energy of formation in eV/atom: -0.337
Total energy in eV per cell: -99.5

Cell and atoms, written as Quantum ESPRESSO input:
```
&SYSTEM
  ibrav = 0, nat = 17, ntyp = 3
/
ATOMIC_SPECIES
Pd 106.42 Pd.upf
Pm 145.00 Pm.upf
B 10.81 B.upf
ATOMIC_POSITIONS crystal
Pd 0.323 0.505 0.182
Pd 0.182 0.323 0.505
Pd 0.677 0.860 0.182
Pd 0.677 0.495 0.818
Pd 0.818 0.323 0.140
Pd 0.182 0.677 0.860
Pd 0.505 0.182 0.323
Pd 0.860 0.182 0.677
Pd 0.323 0.140 0.818
Pd 0.818 0.677 0.495
Pd 0.140 0.818 0.323
Pd 0.495 0.818 0.677
Pm 0.000 0.000 0.000
B 0.500 0.000 0.000
B 0.500 0.500 0.500
B 0.000 0.500 0.000
B 0.000 0.000 0.500
CELL_PARAMETERS angstrom
-2.194 6.449 0.970
-2.003 -3.924 5.285
6.867 -0.048 -0.418
```